VASP calculation (PBE) on a geometry-optimized LiPaAgHg structure.

Cell and atoms, written as extended XYZ:
```
4
Lattice="0.000 3.531 3.531 3.531 0.000 3.531 3.531 3.531 0.000" Properties=species:S:1:pos:R:3 pbc="T T T"
Li 0.000 0.000 0.000
Pa 3.531 3.531 3.531
Ag 1.765 1.765 1.765
Hg 5.296 5.296 5.296
```

* energy: -14.1 eV/f.u.
* volume: 22.01 Å³ per atom
* formation energy from the elements: 10.8 kJ per mole of atoms

***

VASP calculation (PBE) on a geometry-optimized CaZnCr structure.

Cell and atoms, written as extended XYZ:
```
3
Lattice="4.644 0.000 0.000 -2.322 4.022 0.000 0.000 0.000 3.747" Properties=species:S:1:pos:R:3 pbc="T T T"
Ca 0.000 0.000 0.000
Zn 0.000 2.681 1.874
Cr 2.322 1.341 1.874
```

* energy: -12.0 eV/f.u.
* volume: 23.33 Å³ per atom
* formation energy from the elements: 29.8 kJ per mole of atoms

***

VASP calculation (PBE) on a geometry-optimized TaAlCuSe2 structure.

Cell and atoms, written as extended XYZ:
```
5
Lattice="5.002 0.000 0.000 0.000 5.002 0.000 0.000 0.000 4.964" Properties=species:S:1:pos:R:3 pbc="T T T"
Ta 0.000 0.000 0.000
Al 2.501 2.501 2.482
Cu 0.000 0.000 2.482
Se 0.000 2.501 0.000
Se 2.501 0.000 0.000
```

* ΔE_f (raw): 0.265 eV per atom
* energy: -25.3 eV/f.u.
* volume: 24.85 Å³ per atom